[1]
A plane-wave DFT calculation with PBE was carried out for a geometry-optimized Li3CaAc2Pb4 structure.

Lattice parameters (Å, degrees): 4.7281 4.7281 12.8693 90.00 90.00 90.00
Positions (direct):
Pb 0.5000 0.0000 0.6622
Pb 0.0000 0.5000 0.3378
Pb 0.0000 0.0000 0.0000
Pb 0.5000 0.5000 0.0000
Li 0.0000 0.5000 0.1263
Li 0.5000 0.0000 0.8737
Li 0.0000 0.0000 0.5000
Ac 0.0000 0.5000 0.7741
Ac 0.5000 0.0000 0.2259
Ca 0.5000 0.5000 0.5000

Summary:
The calculated formation energy is -10.60 kcal/mol of atoms. The volume comes out at 288 Å³/f.u. As for the space-group type: No. 115. The total magnetic moment is 0.0000 μB per atom. The total energy comes out at -35.4 eV per cell.


[2]
A plane-wave DFT calculation with PBE was carried out for a geometry-optimized Li2Ca2AcPb2 structure.

Lattice parameters (Å, degrees): 5.0107 5.0107 10.0201 75.52 75.52 60.00
Positions (direct):
Pb 0.2573 0.2573 0.2282
Pb 0.7427 0.7427 0.7718
Li 0.5857 0.5857 0.2428
Li 0.4143 0.4143 0.7572
Ca 0.1318 0.1318 0.6046
Ca 0.8682 0.8682 0.3954
Ac 0.0000 0.0000 0.0000

Summary:
The calculated formation energy is -9.95 kcal/mol of atoms. The volume comes out at 209 Å³/f.u. As for the space-group type: No. 166. The total magnetic moment is 0.0447 μB per atom. The total energy comes out at -22.4 eV per cell.


[3]
A plane-wave DFT calculation with PBE was carried out for a geometry-optimized Li2CaAc2Pb2 structure.

Lattice parameters (Å, degrees): 4.9290 4.9290 10.9864 77.04 77.04 60.00
Positions (direct):
Pb 0.2715 0.2715 0.1855
Pb 0.7285 0.7285 0.8145
Ca 0.0000 0.0000 0.0000
Ac 0.1213 0.1213 0.6361
Ac 0.8787 0.8787 0.3639
Li 0.6184 0.6184 0.1448
Li 0.3816 0.3816 0.8552

Summary:
The calculated formation energy is -8.05 kcal/mol of atoms. The volume comes out at 223 Å³/f.u. As for the space-group type: No. 166. The total magnetic moment is 0.0000 μB per atom. The total energy comes out at -23.9 eV per cell.


[4]
A plane-wave DFT calculation with PBE was carried out for a geometry-optimized LiCa2Ac2Pd4 structure.

Lattice parameters (Å, degrees): 6.5587 6.5587 6.5587 101.52 113.59 113.59
Positions (direct):
Ac 0.5000 0.2500 0.7500
Ac 0.5000 0.7500 0.2500
Pd 0.4892 0.2446 0.2446
Pd 0.0000 0.7554 0.2446
Pd 0.0000 0.2446 0.7554
Pd 0.5108 0.7554 0.7554
Ca 0.0000 0.3099 0.3099
Ca 0.0000 0.6901 0.6901
Li 0.0000 0.0000 0.0000

Summary:
The calculated formation energy is -12.27 kcal/mol of atoms. The volume comes out at 214 Å³/f.u. As for the space-group type: No. 139. The total magnetic moment is 0.0000 μB per atom. The total energy comes out at -39.7 eV per cell.


[5]
A plane-wave DFT calculation with PBE was carried out for a geometry-optimized LiCaAcPd structure.

Lattice parameters (Å, degrees): 4.3496 4.3087 6.4652 90.00 109.66 90.00
Positions (direct):
Li 0.5653 0.5000 0.1306
Pd 0.4223 0.0000 0.8447
Ca 0.1469 0.0000 0.2937
Ac 0.8655 0.5000 0.7310

Summary:
The calculated formation energy is -9.05 kcal/mol of atoms. The volume comes out at 114 Å³/f.u. For the energy above the lowest structure with this stoichiometry, the calculation gives 0.000 eV/atom. As for the space-group type: No. 38. The total magnetic moment is 0.0000 μB per atom. The total energy comes out at -14.8 eV per cell.


[6]
A plane-wave DFT calculation with PBE was carried out for a geometry-optimized LiCaAcPd structure.

Lattice parameters (Å, degrees): 5.3362 5.3362 5.3362 60.00 60.00 60.00
Positions (direct):
Li 0.0000 0.0000 0.0000
Pd 0.5000 0.5000 0.5000
Ac 0.2500 0.2500 0.2500
Ca 0.7500 0.7500 0.7500

Summary:
The calculated formation energy is -7.23 kcal/mol of atoms. The volume comes out at 107 Å³/f.u. For the energy above the lowest structure with this stoichiometry, the calculation gives 0.079 eV/atom. As for the space-group type: No. 216. The total magnetic moment is 0.0000 μB per atom. The total energy comes out at -14.5 eV per cell.


[7]
A plane-wave DFT calculation with PBE was carried out for a geometry-optimized Li2CaAcPd2 structure.

Lattice parameters (Å, degrees): 4.4629 4.4629 7.9239 90.00 90.00 120.00
Positions (direct):
Ac 0.0000 0.0000 0.0000
Pd 0.3333 0.6667 0.7477
Pd 0.6667 0.3333 0.2523
Li 0.6667 0.3333 0.7044
Li 0.3333 0.6667 0.2956
Ca 0.0000 0.0000 0.5000

Summary:
The calculated formation energy is -11.52 kcal/mol of atoms. The volume comes out at 137 Å³/f.u. As for the space-group type: No. 164. The total magnetic moment is 0.0000 μB per atom. The total energy comes out at -23.3 eV per cell.


[8]
A plane-wave DFT calculation with PBE was carried out for a geometry-optimized LiCaAcRh structure.

Lattice parameters (Å, degrees): 5.2247 5.2247 5.2247 60.00 60.00 60.00
Positions (direct):
Li 0.0000 0.0000 0.0000
Rh 0.5000 0.5000 0.5000
Ac 0.7500 0.7500 0.7500
Ca 0.2500 0.2500 0.2500

Summary:
The calculated formation energy is -5.88 kcal/mol of atoms. The volume comes out at 101 Å³/f.u. As for the space-group type: No. 216. The total magnetic moment is 0.0000 μB per atom. The total energy comes out at -16.4 eV per cell.


[9]
A plane-wave DFT calculation with PBE was carried out for a geometry-optimized LiCa3Ac3S8 structure.

Lattice parameters (Å, degrees): 8.3816 8.3821 8.2588 120.49 90.00 120.00
Positions (direct):
Ac 0.0000 0.5000 0.5000
Ac 0.5000 0.5000 0.5000
Ac 0.5000 0.0000 0.5000
S 0.7600 0.5201 0.2552
S 0.2400 0.0048 0.7448
S 0.7600 0.9952 0.2552
S 0.2400 0.4799 0.7448
S 0.7648 0.0048 0.7448
S 0.2450 0.4901 0.2351
S 0.2352 0.9952 0.2552
S 0.7550 0.5099 0.7649
Li 0.0000 0.0000 0.5000
Ca 0.5000 0.5000 0.0000
Ca 0.0000 0.5000 0.0000
Ca 0.0000 0.0000 0.0000

Summary:
The calculation puts the formation energy without anion corrections at -1.94 eV/atom. The volume comes out at 407 Å³/f.u. As for the space-group type: No. 166. The total magnetic moment is 0.0000 μB per atom. The total energy comes out at -82.4 eV per cell.


[10]
A plane-wave DFT calculation with PBE was carried out for a geometry-optimized Li2Ca2AcSb2 structure.

Lattice parameters (Å, degrees): 4.8172 4.8172 10.0117 76.08 76.08 60.00
Positions (direct):
Sb 0.7419 0.7419 0.7742
Sb 0.2581 0.2581 0.2258
Ca 0.8662 0.8662 0.4013
Ca 0.1338 0.1338 0.5987
Ac 0.0000 0.0000 0.0000
Li 0.4189 0.4189 0.7433
Li 0.5811 0.5811 0.2567

Summary:
The calculation puts the formation energy without anion corrections at -0.69 eV/atom. The volume comes out at 193 Å³/f.u. As for the space-group type: No. 166. The total magnetic moment is 0.0000 μB per atom. The total energy comes out at -25.0 eV per cell.


[11]
A plane-wave DFT calculation with PBE was carried out for a geometry-optimized LiCa3Ac3Se8 structure.

Lattice parameters (Å, degrees): 8.7102 8.7102 8.5974 120.44 90.00 120.00
Positions (direct):
Ca 0.0000 0.0000 0.0000
Ca 0.5000 0.5000 0.0000
Ca 0.0000 0.5000 0.0000
Li 0.0000 0.0000 0.5000
Ac 0.0000 0.5000 0.5000
Ac 0.5000 0.5000 0.5000
Ac 0.5000 0.0000 0.5000
Se 0.7587 0.5174 0.2533
Se 0.2449 0.4898 0.2347
Se 0.2359 0.9946 0.2533
Se 0.7641 0.0054 0.7467
Se 0.2413 0.0054 0.7467
Se 0.2413 0.4826 0.7467
Se 0.7587 0.9946 0.2533
Se 0.7551 0.5102 0.7653

Summary:
The calculation puts the formation energy without anion corrections at -1.83 eV/atom. The volume comes out at 458 Å³/f.u. As for the space-group type: No. 166. The total magnetic moment is 0.0000 μB per atom. The total energy comes out at -75.6 eV per cell.


[12]
A plane-wave DFT calculation with PBE was carried out for a geometry-optimized LiCa3Ac2Se6 structure.

Lattice parameters (Å, degrees): 7.4371 7.4371 7.4705 99.55 99.55 120.00
Positions (direct):
Se 0.7618 0.7618 0.2584
Se 0.4117 0.0867 0.2599
Se 0.5883 0.9133 0.7401
Se 0.0867 0.4117 0.2599
Se 0.9133 0.5883 0.7401
Se 0.2382 0.2382 0.7416
Ca 0.1667 0.8333 0.5000
Ca 0.5000 0.5000 0.5000
Ca 0.8333 0.1667 0.5000
Li 0.0000 0.0000 0.0000
Ac 0.3334 0.6666 0.0000
Ac 0.6666 0.3334 0.0000

Summary:
The calculation puts the formation energy without anion corrections at -1.86 eV/atom. The volume comes out at 338 Å³/f.u. As for the space-group type: No. 12. The total magnetic moment is 0.0000 μB per atom. The total energy comes out at -59.4 eV per cell.


Q: What is the total magnetic moment in the second record?
A: 0.0447 μB per atom


Q: total magnetic moment of number 7 (Li2CaAcPd2)?
A: 0.0000 μB per atom


Q: total magnetic moment of number 1 (Li3CaAc2Pb4)?
A: 0.0000 μB per atom